# 1
SrBe2NiH8 PBE optimized geometry; spin magnetization = 2.00 μB per formula unit; E_tot = -3.5998 eV per atom
1.0
2.154 1.244 6.342
-2.154 1.244 6.342
0.000 -2.488 6.342
Sr Be Ni H
1 2 1 8
direct
0.000 0.000 0.000
0.233 0.233 0.233
0.767 0.767 0.767
0.500 0.500 0.500
0.128 0.462 0.752
0.248 0.872 0.538
0.309 0.309 0.309
0.462 0.752 0.128
0.538 0.248 0.872
0.691 0.691 0.691
0.752 0.128 0.462
0.872 0.538 0.248

# 2
AcScSnPd PBE optimized geometry; spin magnetization = 0.01 μB per formula unit; energy relative to the elements = -0.5401 eV/atom
1.0
0.000 3.747 3.747
3.747 0.000 3.747
3.747 3.747 0.000
Ac Sc Sn Pd
1 1 1 1
direct
0.000 0.000 0.000
0.500 0.500 0.500
0.250 0.250 0.250
0.750 0.750 0.750

# 3
KCd2Hg PBE optimized geometry; spin magnetization = 0.00 μB per formula unit; energy relative to the elements = -0.0638 eV/atom
1.0
-2.699 2.713 3.983
2.699 -2.713 3.983
2.699 2.713 -3.983
K Cd Hg
1 2 1
direct
0.000 0.000 0.000
0.500 0.500 0.000
0.749 0.249 0.500
0.251 0.751 0.500